1.
# PBE AcPmSmHo2, optimized geometry
# total DFT energy (no corrections) = -83.68 eV for the cell shown
# volume = 741 Å³ per cell
data_AcPmSmHo2
_symmetry_space_group_name_H-M 'C m c m'
_symmetry_Int_Tables_number 63
_symmetry_space_group_name_Hall '-C 2c 2'
_cell_length_a 6.579
_cell_length_b 17.438
_cell_length_c 6.457
_cell_angle_alpha 90.00
_cell_angle_beta 90.00
_cell_angle_gamma 90.00
loop_
_atom_site_label
_atom_site_fract_x
_atom_site_fract_y
_atom_site_fract_z
Ac1 0.000 0.157 0.250
Pm1 0.000 0.348 0.250
Sm1 0.000 0.279 0.750
Ho1 0.243 0.500 0.000

2.
# PBE CeScAl, optimized geometry
# total DFT energy (no corrections) = -16.22 eV for the cell shown
# volume = 65 Å³ per cell
data_CeScAl
_symmetry_space_group_name_H-M 'P -6 m 2'
_symmetry_Int_Tables_number 187
_symmetry_space_group_name_Hall 'P -6 2'
_cell_length_a 5.0337
_cell_length_b 5.0337
_cell_length_c 2.9471
_cell_angle_alpha 90.00
_cell_angle_beta 90.00
_cell_angle_gamma 120.00
loop_
_atom_site_label
_atom_site_fract_x
_atom_site_fract_y
_atom_site_fract_z
Ce1 0.0000 0.0000 0.0000
Sc1 0.6667 0.3333 0.0000
Al1 0.3333 0.6667 0.5000

3.
# PBE LiErCo, optimized geometry
# total DFT energy (no corrections) = -54.33 eV for the cell shown
# volume = 237 Å³ per cell
data_LiErCo
_symmetry_space_group_name_H-M 'C 1 2/m 1'
_symmetry_Int_Tables_number 12
_symmetry_space_group_name_Hall '-C 2y'
_cell_length_a 12.250
_cell_length_b 3.819
_cell_length_c 5.105
_cell_angle_alpha 90.00
_cell_angle_beta 97.89
_cell_angle_gamma 90.00
loop_
_atom_site_label
_atom_site_fract_x
_atom_site_fract_y
_atom_site_fract_z
Li1 0.085 0.000 0.315
Er1 0.139 0.500 0.855
Co1 0.237 0.500 0.386

4.
# PBE LiAc2Bi, optimized geometry
# total DFT energy (no corrections) = -15.64 eV for the cell shown
# volume = 138 Å³ per cell
data_LiAc2Bi
_symmetry_space_group_name_H-M 'P 4/m m m'
_symmetry_Int_Tables_number 123
_symmetry_space_group_name_Hall '-P 4 2'
_cell_length_a 5.541
_cell_length_b 5.541
_cell_length_c 4.493
_cell_angle_alpha 90.00
_cell_angle_beta 90.00
_cell_angle_gamma 90.00
loop_
_atom_site_label
_atom_site_fract_x
_atom_site_fract_y
_atom_site_fract_z
Li1 0.000 0.000 0.000
Ac1 0.000 0.500 0.500
Bi1 0.500 0.500 0.000

Number 1: DOS at the Fermi energy 8.4 states/eV/f.u.. Number 2: DOS at the Fermi energy 5.6 states/eV/f.u.. Number 3: DOS at the Fermi energy 2.6 states/eV/f.u.. Number 4: DOS at the Fermi energy 3.2 states/eV/f.u..